Record 1
## La5CeIn5 (PBE)

Data for an optimized crystal structure of La5CeIn5.

```
La5CeIn5
1.0
-1.941 5.154 2.570
-7.880 -5.712 -1.682
2.804 -1.780 5.687
La In Ce
5 5 1
Cartesian
-1.418 0.675 4.762
-3.741 1.073 2.210
-5.599 -3.012 1.813
-3.275 -3.410 4.365
1.402 -0.890 2.843
-1.774 -1.725 2.121
-6.740 0.343 1.409
-0.277 -2.680 5.166
-0.970 2.577 1.285
-5.243 -0.612 4.454
0.000 0.000 0.000
```

Output
Crystal system: monoclinic
SG: C2/m


Record 2
## LaCe4In5 (PBE)

Data for an optimized crystal structure of LaCe4In5.

```
LaCe4In5
1.0
3.870 0.000 0.000
0.000 3.870 0.000
0.000 0.000 19.496
Ce In La
4 5 1
Cartesian
0.000 0.000 7.828
0.000 0.000 15.516
0.000 0.000 11.668
0.000 0.000 3.980
1.935 1.935 13.587
1.935 1.935 9.748
1.935 1.935 2.047
1.935 1.935 17.449
1.935 1.935 5.909
0.000 0.000 0.000
```

Output
Crystal system: tetragonal
SG: P4/mmm


Record 3
## La8CeIn5 (PBE)

Data for an optimized crystal structure of La8CeIn5.

```
La8CeIn5
1.0
-2.622 4.970 -6.250
-5.187 -6.552 0.892
0.144 4.589 7.039
Ce In La
1 5 8
Cartesian
-3.141 1.408 4.163
-6.868 -0.194 -3.058
-1.586 1.096 -2.095
-5.235 2.414 0.323
-4.409 3.076 -5.096
-1.239 4.779 0.395
-0.504 2.530 5.129
-3.337 3.916 -1.970
-2.174 1.378 1.297
-3.576 4.499 2.674
-4.338 -0.535 -0.914
-4.080 -1.867 3.572
-6.029 1.250 3.277
-3.859 0.474 6.949
```

Output
Crystal system: tetragonal
SG: I-4


Record 4
## LaCe3In4 (PBE)

Data for an optimized crystal structure of LaCe3In4.

```
LaCe3In4
1.0
4.712 0.000 0.000
0.000 4.872 0.000
0.000 0.000 9.761
La Ce In
1 3 4
Cartesian
2.356 2.436 0.000
2.356 0.000 2.520
2.356 2.436 4.880
2.356 0.000 7.240
0.000 0.000 4.880
0.000 2.436 7.280
0.000 2.436 2.481
0.000 0.000 0.000
```

Output
Crystal system: orthorhombic
SG: Pmmm


Record 5
## La2CeIn (PBE)

Data for an optimized crystal structure of La2CeIn.

```
La2CeIn
1.0
-3.603 -0.416 0.053
-1.796 -0.655 -3.082
-0.496 -11.453 0.588
Ce La In
1 2 1
Cartesian
-2.945 -6.280 -1.218
-1.483 -3.049 -0.622
-0.813 -8.750 0.199
-4.095 -12.158 -1.433
```

Output
ΔE to the lowest computed polymorph, meV/atom: 163
Crystal system: trigonal
SG: R3m


Record 6
## La3CeIn2 (PBE)

Data for an optimized crystal structure of La3CeIn2.

```
La3CeIn2
1.0
6.887 0.000 0.000
0.000 6.340 -0.154
-3.444 -1.831 8.545
La In Ce
6 4 2
Cartesian
4.165 1.585 -0.038
2.722 4.755 -0.115
0.839 -0.194 2.929
4.283 1.533 5.538
-0.839 2.976 2.852
2.604 4.703 5.461
2.570 2.801 2.727
-0.873 4.878 5.587
4.317 -0.369 2.804
0.873 1.708 5.664
5.916 4.755 -0.115
0.971 1.585 -0.038
```

Output
ΔE to the lowest computed polymorph, meV/atom: 19
Crystal system: monoclinic
SG: C2/c


Record 7
## La15CeIn4 (PBE)

Data for an optimized crystal structure of La15CeIn4.

```
La15CeIn4
1.0
-0.366 -2.855 -4.177
-3.692 -2.713 2.178
-17.425 16.101 -9.481
La In Ce
15 4 1
Cartesian
-12.373 9.836 -8.722
-10.558 6.694 -3.652
-15.933 10.063 -8.565
-8.895 6.623 -6.829
-5.550 0.469 -2.916
-14.037 9.907 -5.544
-2.029 -2.784 -1.000
-15.872 13.069 -10.625
-3.582 0.247 0.144
-12.502 6.893 -6.699
-5.417 3.409 -4.937
-1.919 0.176 -3.033
-17.535 13.140 -7.448
-7.080 3.480 -1.759
-8.980 3.639 -4.782
-13.919 12.862 -7.574
-10.445 9.651 -5.683
-3.506 3.239 -1.907
-6.980 6.450 -3.798
0.000 0.000 0.000
```

Output
Crystal system: tetragonal
SG: P4/mmm


Record 8
## La6CeIn5 (PBE)

Data for an optimized crystal structure of La6CeIn5.

```
La6CeIn5
1.0
11.078 -0.899 0.000
1.629 5.993 0.000
0.815 2.997 5.592
La In Ce
6 5 1
Cartesian
4.098 4.109 2.032
9.423 3.981 3.560
4.913 7.106 3.560
3.077 1.468 0.000
8.609 0.985 2.032
9.630 3.625 0.000
6.353 2.547 4.008
6.353 2.547 0.000
1.629 5.993 3.507
0.815 2.997 2.085
7.168 5.543 1.584
0.000 0.000 0.000
```

Output
ΔE to the lowest computed polymorph, meV/atom: 160
Crystal system: monoclinic
SG: C2/m


Record 9
## LaCeIn (PBE)

Data for an optimized crystal structure of LaCeIn.

```
LaCeIn
1.0
5.479 0.000 0.000
-2.739 4.956 3.690
0.000 1.786 7.845
In La Ce
2 2 2
Cartesian
2.739 5.255 5.134
0.000 1.487 6.401
2.739 3.769 8.253
0.000 2.973 3.281
0.000 4.754 6.905
2.739 1.989 4.630
```

Output
ΔE to the lowest computed polymorph, meV/atom: 0
Crystal system: monoclinic
SG: C2/m


Record 10
## La3Ce2In2 (PBE)

Data for an optimized crystal structure of La3Ce2In2.

```
La3Ce2In2
1.0
6.294 0.000 2.650
0.000 6.433 0.000
1.738 0.000 11.355
La In Ce
6 4 4
Cartesian
3.462 3.149 10.268
2.593 0.068 4.590
0.869 3.217 5.677
0.000 0.000 0.000
5.439 6.365 9.415
4.570 3.285 3.738
6.723 4.148 11.680
1.309 2.285 2.326
5.854 5.502 6.002
2.178 0.932 8.003
3.362 4.249 7.512
4.669 2.184 6.493
2.493 5.401 1.835
5.539 1.032 12.171
```

Output
Crystal system: monoclinic
SG: P2_1/c


Record 11
## LaCeIn3 (PBE)

Data for an optimized crystal structure of LaCeIn3.

```
LaCeIn3
1.0
-3.841 -3.621 1.618
0.417 -3.763 -7.432
5.149 -2.813 5.928
In La Ce
6 2 2
Cartesian
0.157 -3.269 -2.234
0.000 0.000 0.000
1.568 -6.928 2.348
1.978 -5.421 -2.726
-0.253 -4.776 2.840
-1.920 -1.810 0.809
-0.453 -6.075 -0.542
2.178 -4.122 0.656
3.165 -3.924 3.442
-1.440 -6.273 -3.328
```

Output
Crystal system: orthorhombic
SG: Cmcm


Record 12
## LaCeIn5 (PBE)

Data for an optimized crystal structure of LaCeIn5.

```
LaCeIn5
1.0
-2.246 0.049 4.786
-2.370 -4.605 -1.065
5.884 -3.675 2.798
Ce In La
1 5 1
Cartesian
-2.308 -2.278 1.861
3.321 -5.117 1.611
0.634 -4.116 3.260
3.383 -2.790 4.536
0.255 -0.836 3.048
0.193 -3.163 0.123
2.942 -1.838 1.399
```

Output
Crystal system: tetragonal
SG: P4/mmm


Record 13
## La3CeIn2 (PBE)

Data for an optimized crystal structure of La3CeIn2.

```
La3CeIn2
1.0
-2.883 0.303 -2.141
-2.572 -8.538 2.257
-11.633 7.942 16.788
In Ce La
8 4 12
Cartesian
-7.736 1.537 6.085
-12.150 5.226 15.584
-11.909 0.430 14.582
-9.352 -1.831 10.818
-4.938 -5.520 1.320
-9.336 3.820 11.595
-7.752 -4.114 5.309
-5.179 -0.724 2.322
-8.952 4.190 8.098
-2.644 -3.086 1.608
-14.444 2.792 15.296
-8.136 -4.484 8.806
-5.776 -1.308 6.077
-12.557 3.312 12.829
-11.904 6.565 12.409
-7.969 1.304 9.399
-9.119 -1.598 7.505
-5.184 -6.859 4.495
-4.581 1.575 4.875
-14.067 0.320 17.472
-12.507 -1.869 12.029
-3.021 -0.614 -0.568
-4.531 -3.606 4.075
-11.312 1.014 10.827
```

Output
ΔE to the lowest computed polymorph, meV/atom: 0
Crystal system: orthorhombic
SG: Pnma


Record 14
## Li2La2CeIn2 (PBE)

Data for an optimized crystal structure of Li2La2CeIn2.

```
Li2La2CeIn2
1.0
-1.774 -1.354 4.549
-2.753 -4.226 0.491
5.697 -6.384 3.143
La Li In Ce
2 2 2 1
Cartesian
2.962 -4.666 2.588
-1.791 -7.297 5.596
2.947 -7.464 4.571
-1.776 -4.499 3.612
-0.072 -2.762 1.972
1.243 -9.201 6.212
0.000 0.000 0.000
```

Output
Crystal system: trigonal
SG: R-3m


Record 15
## LiLaCe2In4 (PBE)

Data for an optimized crystal structure of LiLaCe2In4.

```
LiLaCe2In4
1.0
-0.842 -1.618 5.022
-0.675 -5.194 1.055
8.428 -3.187 3.229
Ce Li In La
2 1 4 1
Cartesian
5.039 -7.485 6.960
1.871 -2.515 2.346
3.455 -5.000 4.653
5.007 -2.836 2.768
6.690 -5.332 5.089
0.220 -4.668 4.217
1.903 -7.163 6.538
0.000 0.000 0.000
```

Output
Crystal system: trigonal
SG: R-3m


Record 16
## Li2La2CeIn5 (PBE)

Data for an optimized crystal structure of Li2La2CeIn5.

```
Li2La2CeIn5
1.0
4.546 0.000 0.000
0.000 10.640 0.000
0.000 0.000 10.640
In Ce La Li
10 2 4 4
Cartesian
2.273 9.932 2.309
2.273 8.330 9.932
2.273 5.320 0.000
2.273 7.629 4.612
2.273 0.708 8.330
2.273 4.612 3.010
2.273 2.309 0.708
2.273 6.028 7.629
2.273 0.000 5.320
2.273 3.010 6.028
0.000 0.000 0.000
0.000 5.320 5.320
0.000 3.425 8.745
0.000 8.745 7.215
0.000 7.215 1.895
0.000 1.895 3.425
0.000 4.086 1.233
0.000 6.553 9.406
0.000 1.233 6.553
0.000 9.406 4.086
```

Output
Crystal system: tetragonal
SG: P4/mbm


Record 17
## LaCeLuIn (PBE)

Data for an optimized crystal structure of LaCeLuIn.

```
LaCeLuIn
1.0
5.465 0.000 0.000
2.732 4.733 0.000
2.732 1.578 4.462
Lu La In Ce
1 1 1 1
Cartesian
5.465 3.155 2.231
0.000 0.000 0.000
2.732 1.578 1.115
8.197 4.733 3.346
```

Output
Crystal system: cubic
SG: F-43m


Record 18
## LaCe2Mg2In2 (PBE)

Data for an optimized crystal structure of LaCe2Mg2In2.

```
LaCe2Mg2In2
1.0
-2.234 -1.202 -4.150
2.071 -3.177 -3.045
-4.410 -8.502 1.987
In La Mg Ce
2 1 2 2
Cartesian
-3.615 -9.961 -3.719
-0.958 -2.920 -1.489
0.000 0.000 0.000
-1.175 -4.644 -3.723
-3.397 -8.237 -1.485
-2.507 -5.426 0.071
-2.065 -7.456 -5.279
```

Output
Crystal system: trigonal
SG: R-3m


Record 19
## LaCeMgIn (PBE)

Data for an optimized crystal structure of LaCeMgIn.

```
LaCeMgIn
1.0
5.520 0.000 0.000
2.760 4.781 0.000
2.760 1.594 4.507
La Mg In Ce
1 1 1 1
Cartesian
2.760 1.594 1.127
5.520 3.187 2.254
0.000 0.000 0.000
8.281 4.781 3.381
```

Output
Crystal system: cubic
SG: F-43m


Record 20
## LaCePaIn (PBE)

Data for an optimized crystal structure of LaCePaIn.

```
LaCePaIn
1.0
-4.813 2.495 -0.543
-4.571 -2.536 1.534
-2.704 1.694 4.416
In La Pa Ce
1 1 1 1
Cartesian
-3.022 0.413 1.352
-6.044 0.827 2.704
-9.066 1.240 4.056
0.000 0.000 0.000
```

Output
Crystal system: cubic
SG: F-43m


Record 21
## LaCeInPb (PBE)

Data for an optimized crystal structure of LaCeInPb.

```
LaCeInPb
1.0
5.582 0.000 0.000
2.791 4.834 0.000
2.791 1.611 4.557
In Ce Pb La
1 1 1 1
Cartesian
2.791 1.611 1.139
0.000 0.000 0.000
8.372 4.834 3.418
5.582 3.223 2.279
```

Output
ΔE to the lowest computed polymorph, meV/atom: 40
Crystal system: cubic
SG: F-43m


Record 22
## LaCeInPb (PBE)

Data for an optimized crystal structure of LaCeInPb.

```
LaCeInPb
1.0
5.096 0.000 0.000
0.000 5.096 0.000
-2.548 -2.548 4.621
Ce Pb La In
1 1 1 1
Cartesian
0.000 2.548 2.311
2.548 2.548 0.000
2.548 0.000 2.311
0.000 0.000 0.000
```

Output
ΔE to the lowest computed polymorph, meV/atom: 0
Crystal system: tetragonal
SG: I-4m2


Record 23
## LaCePrIn (PBE)

Data for an optimized crystal structure of LaCePrIn.

```
LaCePrIn
1.0
-5.546 0.082 0.725
-2.180 -1.120 5.028
-2.369 4.088 2.994
Ce In Pr La
1 1 1 1
Cartesian
0.000 0.000 0.000
-5.047 1.525 4.373
-7.571 2.288 6.560
-2.524 0.763 2.187
```

Output
Crystal system: cubic
SG: F-43m


no.,calculated formation energy (meV per atom),total DFT energy (no corrections) (eV/atom),total magnetization (μB/atom)
1,-241.5,-4.265,0.11
2,-348.0,-4.584,0.38
3,-242.8,-4.460,0.01
4,-388.7,-4.599,0.37
5,-68.7,-4.701,0.22
6,-262.9,-4.628,0.13
7,-226.2,-4.766,0.01
8,-228.7,-4.328,0.13
9,-293.8,-4.827,0.18
10,-209.2,-4.799,0.00
11,90.6,-3.725,0.19
12,-176.8,-3.684,0.10
13,-281.4,-4.647,0.15
14,-237.6,-3.822,0.16
15,-341.5,-4.049,0.23
16,-411.1,-3.742,0.09
17,-65.3,-4.596,0.01
18,-210.7,-3.848,0.30
19,-222.5,-4.021,0.27
20,124.6,-5.649,0.60
21,-412.0,-4.739,0.33
22,-451.8,-4.779,0.36
23,-93.2,-4.688,0.14